Computed, not measured: Ga2Ag2Sn at its PBEsol-relaxed geometry at the SCAN level of DFT.

energy of formation	0.126	eV/atom
excess energy over the best structure of this formula in the dataset	0	meV per atom

Unit cell a=3.877 b=3.877 c=12.743 alpha=90.00 beta=90.00 gamma=90.00
Fractional positions:
Ga: 0.000 0.500 0.250
Ga: 0.000 0.500 0.750
Ga: 0.500 0.000 0.250
Ga: 0.500 0.000 0.750
Ag: 0.000 0.000 0.106
Ag: 0.000 0.000 0.894
Ag: 0.500 0.500 0.394
Ag: 0.500 0.500 0.606
Sn: 0.000 0.000 0.500
Sn: 0.500 0.500 0.000

Computed, not measured: Bi6P2O15 at its PBEsol-relaxed geometry at the SCAN level of DFT.

uncorrected energy	-26.98	eV/atom

Unit cell a=11.409 b=11.409 c=5.786 alpha=90.00 beta=90.00 gamma=116.96
Fractional positions:
Bi: 0.050 0.179 0.582
Bi: 0.101 0.693 0.000
Bi: 0.179 0.050 0.082
Bi: 0.262 0.413 0.984
Bi: 0.307 0.899 0.500
Bi: 0.413 0.262 0.484
Bi: 0.587 0.738 0.484
Bi: 0.693 0.101 0.500
Bi: 0.738 0.587 0.984
Bi: 0.821 0.950 0.082
Bi: 0.899 0.307 0.000
Bi: 0.950 0.821 0.582
P: 0.226 0.549 0.475
P: 0.451 0.774 0.975
P: 0.549 0.226 0.975
P: 0.774 0.451 0.475
O: 0.000 0.000 0.276
O: 0.000 0.000 0.776
O: 0.067 0.254 0.950
O: 0.143 0.836 0.722
O: 0.145 0.445 0.285
O: 0.158 0.496 0.713
O: 0.164 0.857 0.222
O: 0.221 0.677 0.407
O: 0.254 0.067 0.450
O: 0.277 0.292 0.705
O: 0.292 0.277 0.205
O: 0.323 0.779 0.907
O: 0.367 0.560 0.480
O: 0.440 0.633 0.980
O: 0.445 0.145 0.785
O: 0.496 0.158 0.213
O: 0.504 0.842 0.213
O: 0.555 0.855 0.785
O: 0.560 0.367 0.980
O: 0.633 0.440 0.480
O: 0.677 0.221 0.907
O: 0.708 0.723 0.205
O: 0.723 0.708 0.705
O: 0.746 0.933 0.450
O: 0.779 0.323 0.407
O: 0.836 0.143 0.222
O: 0.842 0.504 0.713
O: 0.855 0.555 0.285
O: 0.857 0.164 0.722
O: 0.933 0.746 0.950

no.,size of the total moment (μB per formula unit),density of states at the Fermi level (states/eV per atom),density (g/cm3)
1,0.00,0.463,8.22
2,0.00,0.313,7.70